A relaxed structure of La8PdAu2C. Source: the Alexandria database, functional PBE.

Cell: 6.882 6.981 8.288 Å, 90.07 90.16 90.88°
Fractional positions:
La 0.204 0.188 0.498
La 0.232 0.642 0.283
La 0.233 0.641 0.718
La 0.239 0.157 0.000
La 0.761 0.843 0.000
La 0.767 0.359 0.282
La 0.768 0.358 0.717
La 0.796 0.812 0.502
Pd 0.000 0.500 0.000
Au 0.498 0.001 0.733
Au 0.502 0.999 0.267
C 0.000 0.500 0.500

Calculated values
Energy relative to the elements: -31.5 kJ per mole of atoms
Symmetry: P-1, No. 2
DFT total energy: -5.36 eV/atom
Theoretical density: 6.8 Mg/m³

***

A relaxed structure of LiThPa2As4. Source: the Alexandria database, functional PBE.

Cell: 7.131 4.155 7.142 Å, 90.00 109.51 90.00°
Fractional positions:
Li 0.000 0.000 0.000
Th 0.000 0.500 0.500
Pa 0.500 0.000 0.500
Pa 0.500 0.500 0.000
As 0.257 0.000 0.761
As 0.260 0.500 0.249
As 0.740 0.500 0.751
As 0.743 0.000 0.239

Calculated values
Energy relative to the elements: -95.2 kJ per mole of atoms
Symmetry: P2/m, No. 10
DFT total energy: -6.85 eV/atom
Theoretical density: 8.3 Mg/m³

***

A relaxed structure of Pm14PrZr. Source: the Alexandria database, functional PBE.

Cell: 7.251 7.251 10.229 Å, 90.00 90.00 90.00°
Fractional positions:
Pm 0.000 0.000 0.000
Pm 0.000 0.500 0.000
Pm 0.000 0.500 0.500
Pm 0.244 0.244 0.256
Pm 0.244 0.244 0.744
Pm 0.244 0.756 0.256
Pm 0.244 0.756 0.744
Pm 0.500 0.000 0.000
Pm 0.500 0.000 0.500
Pm 0.500 0.500 0.000
Pm 0.756 0.244 0.256
Pm 0.756 0.244 0.744
Pm 0.756 0.756 0.256
Pm 0.756 0.756 0.744
Pr 0.500 0.500 0.500
Zr 0.000 0.000 0.500

Calculated values
Energy relative to the elements: 4.4 kJ per mole of atoms
Symmetry: P4/mmm, No. 123
DFT total energy: -4.94 eV/atom
Theoretical density: 7.0 Mg/m³